Entry 1:
Compound: TaCdCuB
Source: the Open Quantum Materials Database
Functional: PBE
Structure: optimized geometry

```
data_TaCdCuB
_chemical_formula_sum 'Ta4 Cd4 Cu4 B4'
_symmetry_space_group_name_H-M 'F -4 3 m'
_symmetry_Int_Tables_number 216
_symmetry_space_group_name_Hall 'F -4 2 3'
_cell_length_a 6.1487
_cell_length_b 6.1487
_cell_length_c 6.1487
_cell_angle_alpha 90.00
_cell_angle_beta 90.00
_cell_angle_gamma 90.00
loop_
_atom_site_label
_atom_site_type_symbol
_atom_site_fract_x
_atom_site_fract_y
_atom_site_fract_z
Ta1 Ta 0.0000 0.0000 0.0000
Cd1 Cd 0.2500 0.2500 0.7500
Cu1 Cu 0.0000 0.0000 0.5000
B1 B 0.2500 0.2500 0.2500
```

The calculation puts the spin magnetization at 0.01 μB per formula unit. The energy above the most stable polymorph in this dataset comes out at 0.000 eV/atom.



Entry 2:
Compound: CdCuTcB
Source: the Open Quantum Materials Database
Functional: PBE
Structure: optimized geometry

```
data_CdCuTcB
_chemical_formula_sum 'Cd4 Cu4 Tc4 B4'
_symmetry_space_group_name_H-M 'F -4 3 m'
_symmetry_Int_Tables_number 216
_symmetry_space_group_name_Hall 'F -4 2 3'
_cell_length_a 5.9781
_cell_length_b 5.9781
_cell_length_c 5.9781
_cell_angle_alpha 90.00
_cell_angle_beta 90.00
_cell_angle_gamma 90.00
loop_
_atom_site_label
_atom_site_type_symbol
_atom_site_fract_x
_atom_site_fract_y
_atom_site_fract_z
Cd1 Cd 0.0000 0.0000 0.0000
Cu1 Cu 0.2500 0.2500 0.7500
Tc1 Tc 0.2500 0.2500 0.2500
B1 B 0.0000 0.0000 0.5000
```

The calculation puts the spin magnetization at 0.01 μB per formula unit. The energy above the most stable polymorph in this dataset comes out at 0.000 eV/atom.



Entry 3:
Compound: Cd2BO3F
Source: the Open Quantum Materials Database
Functional: PBE
Structure: optimized geometry

```
data_Cd2BO3F
_chemical_formula_sum 'Cd8 B4 O12 F4'
_symmetry_space_group_name_H-M 'C 1 2/c 1'
_symmetry_Int_Tables_number 15
_symmetry_space_group_name_Hall '-C 2yc'
_cell_length_a 8.2801
_cell_length_b 5.4595
_cell_length_c 8.0120
_cell_angle_alpha 90.00
_cell_angle_beta 113.69
_cell_angle_gamma 90.00
loop_
_atom_site_label
_atom_site_type_symbol
_atom_site_fract_x
_atom_site_fract_y
_atom_site_fract_z
Cd1 Cd 0.2080 0.0216 0.3799
B1 B 0.0000 0.4715 0.7500
O1 O 0.0000 0.2824 0.2500
O2 O 0.1622 0.3592 0.8131
F1 F 0.0000 0.0000 0.0000
```

Its final energy is -145.5 eV per cell.



Entry 4:
Compound: CdB2XeF10
Source: the Open Quantum Materials Database
Functional: PBE
Structure: optimized geometry

```
data_CdB2XeF10
_chemical_formula_sum 'Cd4 B8 Xe4 F40'
_symmetry_space_group_name_H-M 'P 1 21/c 1'
_symmetry_Int_Tables_number 14
_symmetry_space_group_name_Hall '-P 2ybc'
_cell_length_a 10.1291
_cell_length_b 8.8302
_cell_length_c 8.3778
_cell_angle_alpha 90.00
_cell_angle_beta 110.64
_cell_angle_gamma 90.00
loop_
_atom_site_label
_atom_site_type_symbol
_atom_site_fract_x
_atom_site_fract_y
_atom_site_fract_z
Cd1 Cd 0.1401 0.0381 0.3493
B1 B 0.0828 0.7184 0.5226
B2 B 0.2203 0.0954 0.8009
Xe1 Xe 0.4572 0.7155 0.8489
F1 F 0.0428 0.1557 0.0888
F2 F 0.0467 0.6643 0.1155
F3 F 0.0761 0.0833 0.7833
F4 F 0.1640 0.7162 0.9355
F5 F 0.1659 0.6080 0.6323
F6 F 0.2326 0.0881 0.6369
F7 F 0.2655 0.2425 0.8684
F8 F 0.3024 0.5132 0.4062
F9 F 0.3656 0.5346 0.9387
F10 F 0.4508 0.1086 0.2265
```

Its final energy is -253.2 eV per cell.



Entry 5:
Compound: CdFeB
Source: the Open Quantum Materials Database
Functional: PBE
Structure: optimized geometry

```
data_CdFeB
_chemical_formula_sum 'Cd4 Fe4 B4'
_symmetry_space_group_name_H-M 'F -4 3 m'
_symmetry_Int_Tables_number 216
_symmetry_space_group_name_Hall 'F -4 2 3'
_cell_length_a 5.6242
_cell_length_b 5.6242
_cell_length_c 5.6242
_cell_angle_alpha 90.00
_cell_angle_beta 90.00
_cell_angle_gamma 90.00
loop_
_atom_site_label
_atom_site_type_symbol
_atom_site_fract_x
_atom_site_fract_y
_atom_site_fract_z
Cd1 Cd 0.0000 0.0000 0.0000
Fe1 Fe 0.2500 0.2500 0.2500
B1 B 0.2500 0.2500 0.7500
```

The calculation puts the spin magnetization at 2.95 μB per formula unit. Its final energy is -45.3 eV per cell.



Entry 6:
Compound: Cd2FeB
Source: the Open Quantum Materials Database
Functional: PBE
Structure: optimized geometry

```
data_Cd2FeB
_chemical_formula_sum 'Cd8 Fe4 B4'
_symmetry_space_group_name_H-M 'F -4 3 m'
_symmetry_Int_Tables_number 216
_symmetry_space_group_name_Hall 'F -4 2 3'
_cell_length_a 6.2624
_cell_length_b 6.2624
_cell_length_c 6.2624
_cell_angle_alpha 90.00
_cell_angle_beta 90.00
_cell_angle_gamma 90.00
loop_
_atom_site_label
_atom_site_type_symbol
_atom_site_fract_x
_atom_site_fract_y
_atom_site_fract_z
Cd1 Cd 0.0000 0.0000 0.0000
Cd2 Cd 0.2500 0.2500 0.2500
Fe1 Fe 0.2500 0.2500 0.7500
B1 B 0.0000 0.0000 0.5000
```

The calculation puts the spin magnetization at 2.38 μB per formula unit. Its final energy is -50.9 eV per cell.